# 1
This record from Alexandria via LeMat-Bulk describes a relaxed structure of Sb3Rh. The functional is PBE-GGA.

abc: 3.4207 3.7823 7.6620
angles: 90.00 90.00 90.00
Closest atoms and distances in Å follow each position.
Element x y z (fractional)
Sb1 0.0000 0.5000 0.4851  8 Sb 3.13-3.42
Sb2 0.5000 0.0000 0.7219  2 Rh 2.70
Sb3 0.5000 0.5000 0.1320  4 Rh 2.76
Rh1 0.0000 0.0000 0.9943  6 Sb 2.70-2.76

* uncorrected energy: -4.9098 eV per atom
* total magnetic moment: 0.00 μB/cell
* energy relative to the elements, uncorrected: 0.020 eV/atom

# 2
This record from Alexandria via LeMat-Bulk describes a relaxed structure of GdZrPdPt. The functional is PBE-GGA.

abc: 4.8651 4.8651 4.8651
angles: 60.00 60.00 60.00
Closest atoms and distances in Å follow each position.
Element x y z (fractional)
Zr1 0.5000 0.5000 0.5000  4 Pd 2.98, 4 Pt 2.98
Gd1 0.0000 0.0000 0.0000  4 Pt 2.98, 4 Pd 2.98
Pt1 0.7500 0.7500 0.7500  4 Gd 2.98, 4 Zr 2.98
Pd1 0.2500 0.2500 0.2500  4 Zr 2.98, 4 Gd 2.98

* energy relative to the elements: -0.824 eV per atom
* uncorrected energy: -9.2892 eV per atom
* total magnetic moment: 7.13 μB/cell

# 3
This record from Alexandria via LeMat-Bulk describes a relaxed structure of Ac3Ga4Ni4. The functional is PBE-GGA.

abc: 4.3182 4.2586 13.0080
angles: 80.54 80.48 89.91
Closest atoms and distances in Å follow each position.
Element x y z (fractional)
Ac1 0.8514 0.3510 0.2981  6 Ni 3.27-3.34, 8 Ga 3.27-3.35
Ac2 0.1487 0.6490 0.7019  6 Ni 3.27-3.34, 8 Ga 3.27-3.35
Ac3 0.0000 0.0000 0.0000  8 Ni 3.27, 4 Ga 3.32
Ga1 0.7499 0.7509 0.5000  4 Ni 2.50-2.53
Ga2 0.5995 0.1004 0.8004  3 Ni 2.49
Ga3 0.2502 0.2491 0.5000  4 Ni 2.50-2.53
Ga4 0.4006 0.8997 0.1996  3 Ni 2.49-2.50
Ni1 0.4513 0.4513 0.0968  1 Ni 2.45, 2 Ga 2.49-2.50
Ni2 0.6988 0.1992 0.6038  5 Ga 2.49-2.53
Ni3 0.3012 0.8008 0.3962  5 Ga 2.49-2.53
Ni4 0.5487 0.5488 0.9031  1 Ni 2.45, 2 Ga 2.49

* energy relative to the elements: -0.483 eV per atom
* uncorrected energy: -4.8065 eV per atom
* total magnetic moment: 0.00 μB/cell

# 4
This record from Alexandria via LeMat-Bulk describes a relaxed structure of CaIr2Pb4. The functional is PBE-GGA.

abc: 5.6355 5.6355 8.0367
angles: 69.48 69.48 90.00
Closest atoms and distances in Å follow each position.
Element x y z (fractional)
Ir1 0.5892 0.5892 0.8216  1 Ir 2.49, 1 Pb 2.59
Ir2 0.4108 0.4108 0.1784  1 Ir 2.49, 1 Pb 2.59
Ca1 0.0000 0.0000 0.0000  6 Pb 2.82-3.15
Pb1 0.7745 0.7745 0.4511  1 Ir 2.59
Pb2 0.2255 0.2255 0.5489  1 Ir 2.59
Pb3 0.0000 0.5000 0.0000  2 Ca 2.82, 4 Ir 3.08
Pb4 0.5000 0.0000 0.0000  2 Ca 2.82, 4 Ir 3.08

* energy relative to the elements: 0.746 eV per atom
* uncorrected energy: -4.1904 eV per atom
* total magnetic moment: 0.00 μB/cell